Record 1
First-principles (GGA-PBE) data for LiY3Be after structural relaxation, as listed in Alexandria via LeMat-Bulk.

Cell and atoms, written as POSCAR:
```
LiY3Be
1.0
5.317 0.000 0.000
0.000 5.317 0.000
0.000 0.000 5.317
Li Y Be
1 3 1
direct
0.000 0.000 0.000
0.000 0.500 0.500
0.500 0.000 0.500
0.500 0.500 0.000
0.500 0.500 0.500
```

## Properties
Polymorph energy (0 for the lowest one) (eV per atom): 0.000
Total moment (μB/cell): 0.00
Formation energy (eV/atom): 0.339
Fermi-level density of states (states/eV per cell): 29.3
Symmetry: Pm-3m

=====

Record 2
First-principles (GGA-PBE) data for LiY2Be after structural relaxation, as listed in Alexandria via LeMat-Bulk.

Cell and atoms, written as POSCAR:
```
LiY2Be
1.0
3.487 0.000 0.000
0.000 3.487 0.000
0.000 0.000 7.523
Li Y Be
1 2 1
direct
0.000 0.000 0.000
0.500 0.500 0.286
0.500 0.500 0.714
0.000 0.000 0.500
```

## Properties
Total moment (μB/cell): 0.00
Formation energy (eV/atom): 0.077
Fermi-level density of states (states/eV per cell): 4.2
Symmetry: P4/mmm

=====

Record 3
First-principles (GGA-PBE) data for Li2YBe2 after structural relaxation, as listed in Alexandria via LeMat-Bulk.

Cell and atoms, written as POSCAR:
```
Li2YBe2
1.0
-2.203 2.203 4.133
2.203 -2.203 4.133
2.203 2.203 -4.133
Li Y Be
2 1 2
direct
0.136 0.136 0.000
0.864 0.864 0.000
0.500 0.500 0.000
0.250 0.750 0.500
0.750 0.250 0.500
```

## Properties
Polymorph energy (0 for the lowest one) (eV per atom): 0.000
Total moment (μB/cell): 0.00
Formation energy (eV/atom): 0.284
Fermi-level density of states (states/eV per cell): 2.4
Symmetry: I4/mmm

=====

Record 4
First-principles (GGA-PBE) data for Li2YBe after structural relaxation, as listed in Alexandria via LeMat-Bulk.

Cell and atoms, written as POSCAR:
```
Li2YBe
1.0
-2.005 2.005 10.066
2.005 -2.005 10.066
2.005 2.005 -10.066
Li Y Be
4 2 2
direct
0.051 0.125 0.426
0.375 0.949 0.074
0.699 0.625 0.574
0.875 0.301 0.926
0.250 0.750 0.500
0.500 0.500 0.000
0.000 0.000 0.000
0.750 0.250 0.500
```

## Properties
Total moment (μB/cell): 0.00
Formation energy (eV/atom): 0.359
Fermi-level density of states (states/eV per cell): 5.6
Symmetry: I-42d

=====

Record 5
First-principles (GGA-PBE) data for LiY2Be after structural relaxation, as listed in Alexandria via LeMat-Bulk.

Cell and atoms, written as POSCAR:
```
LiY2Be
1.0
-2.110 2.110 5.040
2.110 -2.110 5.040
2.110 2.110 -5.040
Li Y Be
1 2 1
direct
0.000 0.000 0.000
0.250 0.750 0.500
0.500 0.500 0.000
0.750 0.250 0.500
```

## Properties
Total moment (μB/cell): 0.00
Formation energy (eV/atom): 0.305
Fermi-level density of states (states/eV per cell): 5.0
Symmetry: I-4m2

=====

Record 6
First-principles (GGA-PBE) data for LiY2Be after structural relaxation, as listed in Alexandria via LeMat-Bulk.

Cell and atoms, written as POSCAR:
```
LiY2Be
1.0
3.534 0.000 0.000
0.000 3.534 0.000
0.000 0.000 7.253
Li Y Be
1 2 1
direct
0.000 0.000 0.000
0.000 0.000 0.612
0.500 0.500 0.269
0.500 0.500 0.836
```

## Properties
Total moment (μB/cell): 0.67
Formation energy (eV/atom): 0.227
Fermi-level density of states (states/eV per cell): 3.9
Symmetry: P4mm

=====

Record 7
First-principles (GGA-PBE) data for Li2YBe after structural relaxation, as listed in Alexandria via LeMat-Bulk.

Cell and atoms, written as POSCAR:
```
Li2YBe
1.0
-2.153 2.437 3.542
2.153 -2.437 3.542
2.153 2.437 -3.542
Li Y Be
2 1 1
direct
0.000 0.000 0.000
0.769 0.269 0.500
0.276 0.776 0.500
0.546 0.546 0.000
```

## Properties
Total moment (μB/cell): 0.00
Formation energy (eV/atom): 0.229
Fermi-level density of states (states/eV per cell): 3.8
Symmetry: Imm2

=====

Record 8
First-principles (GGA-PBE) data for LiYBe3 after structural relaxation, as listed in Alexandria via LeMat-Bulk.

Cell and atoms, written as POSCAR:
```
LiYBe3
1.0
4.140 0.000 0.000
0.000 4.140 0.000
0.000 0.000 4.140
Li Y Be
1 1 3
direct
0.000 0.000 0.000
0.500 0.500 0.500
0.000 0.000 0.500
0.000 0.500 0.000
0.500 0.000 0.000
```

## Properties
Polymorph energy (0 for the lowest one) (eV per atom): 0.000
Total moment (μB/cell): 0.00
Formation energy (eV/atom): 0.412
Fermi-level density of states (states/eV per cell): 2.5
Symmetry: Pm-3m

=====

Record 9
First-principles (GGA-PBE) data for Li2YBe after structural relaxation, as listed in Alexandria via LeMat-Bulk.

Cell and atoms, written as POSCAR:
```
Li2YBe
1.0
3.318 0.000 0.000
0.000 4.974 0.000
-0.334 0.000 4.786
Li Y Be
2 1 1
direct
0.183 0.000 0.291
0.817 0.000 0.709
0.500 0.500 0.000
0.000 0.500 0.500
```

## Properties
Total moment (μB/cell): 0.00
Formation energy (eV/atom): 0.266
Fermi-level density of states (states/eV per cell): 2.6
Symmetry: P2/m

=====

Record 10
First-principles (GGA-PBE) data for Li2YBe after structural relaxation, as listed in Alexandria via LeMat-Bulk.

Cell and atoms, written as POSCAR:
```
Li2YBe
1.0
5.304 -1.606 0.000
5.304 1.606 0.000
-1.708 0.000 4.572
Li Y Be
2 1 1
direct
0.210 0.210 0.198
0.790 0.790 0.802
0.000 0.000 0.500
0.500 0.500 0.000
```

## Properties
Total moment (μB/cell): 0.00
Formation energy (eV/atom): 0.210
Fermi-level density of states (states/eV per cell): 2.5
Symmetry: C2/m

=====

Record 11
First-principles (GGA-PBE) data for LiYBeZn after structural relaxation, as listed in Alexandria via LeMat-Bulk.

Cell and atoms, written as POSCAR:
```
LiYBeZn
1.0
0.000 3.191 3.191
3.191 0.000 3.191
3.191 3.191 0.000
Li Y Be Zn
1 1 1 1
direct
0.000 0.000 0.000
0.250 0.250 0.250
0.500 0.500 0.500
0.750 0.750 0.750
```

## Properties
Total moment (μB/cell): 0.00
Formation energy (eV/atom): -0.068
Fermi-level density of states (states/eV per cell): 0.6
Symmetry: F-43m

=====

Record 12
First-principles (GGA-PBE) data for Li2BeZn after structural relaxation, as listed in Alexandria via LeMat-Bulk.

Cell and atoms, written as POSCAR:
```
Li2BeZn
1.0
-3.438 3.438 2.360
3.438 -3.438 2.360
3.438 3.438 -2.360
Li Be Zn
4 2 2
direct
0.111 0.625 0.986
0.375 0.361 0.486
0.639 0.125 0.014
0.875 0.889 0.514
0.000 0.000 0.000
0.750 0.250 0.500
0.250 0.750 0.500
0.500 0.500 0.000
```

## Properties
Polymorph energy (0 for the lowest one) (eV per atom): 0.241
Total moment (μB/cell): 0.00
Formation energy (eV/atom): 0.260
Fermi-level density of states (states/eV per cell): 1.6
Symmetry: I-42d

=====

What is the formula in the third record? Li2YBe2